Rb2CrAsF6 (PBE with a Hubbard U, optimized geometry); density of states at the Fermi level = 0.4549 states/eV/atom; mass density = 3.88 g/cm3; total energy = -4.80 eV per atom; total moment = 0.500 μB per atom
1.0
-3.151 3.151 4.437
3.151 -3.151 4.437
3.151 3.151 -4.437
Rb Cr As F
2 1 1 6
direct
0.250 0.750 0.500 Rb
0.750 0.250 0.500 Rb
0.000 0.000 0.000 Cr
0.500 0.500 0.000 As
0.229 0.229 0.458 F
0.229 0.771 0.000 F
0.271 0.271 0.000 F
0.729 0.729 0.000 F
0.771 0.229 0.000 F
0.771 0.771 0.542 F